Y3In4: optimized geometry, PBE.

Structure (POSCAR):
```
Y3In4
1.0
7.0604 4.0763 2.1426
-7.0604 4.0763 2.1426
0.0000 -8.1527 2.1426
Y In
6 8
Direct
0.0063 0.3934 0.2726 Y
0.2726 0.0063 0.3934 Y
0.3934 0.2726 0.0063 Y
0.6066 0.7274 0.9937 Y
0.7274 0.9937 0.6066 Y
0.9937 0.6066 0.7274 Y
0.0000 0.0000 0.0000 In
0.0897 0.2403 0.5592 In
0.2403 0.5592 0.0897 In
0.4408 0.9103 0.7597 In
0.5000 0.5000 0.5000 In
0.5592 0.0897 0.2403 In
0.7597 0.4408 0.9103 In
0.9103 0.7597 0.4408 In
```

Its space group is R-3 (148). The energy above the most stable polymorph in this dataset is 0 meV per atom. As for the total moment: 0.000 μB/atom. The formation energy comes out at -0.469 eV per atom.